The following is a DFT calculation (GGA-PBE) of a geometry-optimized ScGa3S structure.

a = 5.3022 Å, b = 5.3022 Å, c = 5.3022 Å
α = 90.00°, β = 90.00°, γ = 90.00°
Last column: magnetic moment on the atom in μB.
Atoms (fractional coordinates):
S 0.5000 0.5000 0.5000  -0.01
Ga 0.0000 0.5000 0.0000  0.17
Ga 0.0000 0.0000 0.5000  0.11
Ga 0.5000 0.0000 0.0000  0.11
Sc 0.0000 0.0000 0.0000  0.61

Output
- distance to the lowest polymorph of the same formula (meV/atom) = 452
- formation energy from raw total energies (meV/atom) = 707


The following is a DFT calculation (GGA-PBE) of a geometry-optimized La2CdSeCl structure.

a = 5.4664 Å, b = 5.1672 Å, c = 5.4664 Å
α = 90.00°, β = 90.00°, γ = 90.00°
Atoms (fractional coordinates):
La 0.0000 0.0000 0.5000
La 0.5000 0.0000 0.0000
Cl 0.0000 0.0000 0.0000
Cd 0.0000 0.5000 0.0000
Se 0.5000 0.5000 0.5000

Output
- formation energy from raw total energies (meV/atom) = -537


The following is a DFT calculation (GGA-PBE) of a geometry-optimized BeGeMo2Ir structure.

a = 4.6489 Å, b = 3.8820 Å, c = 4.6489 Å
α = 90.00°, β = 90.00°, γ = 90.00°
Last column: magnetic moment on the atom in μB.
Atoms (fractional coordinates):
Mo 0.5000 0.0000 0.0000  0.62
Mo 0.0000 0.0000 0.5000  0.98
Ge 0.0000 0.0000 0.0000  0.01
Ir 0.5000 0.5000 0.5000  0.43
Be 0.0000 0.5000 0.0000  -0.01

Output
- ΔE_f (eV/atom) = 1.2916


The following is a DFT calculation (GGA-PBE) of a geometry-optimized AcTePd3 structure.

a = 5.4927 Å, b = 6.5228 Å, c = 6.4833 Å
α = 89.07°, β = 92.49°, γ = 104.79°
Atoms (fractional coordinates):
Ac 0.0114 0.9768 0.2005
Ac 0.4399 0.3760 0.7011
Pd 0.4922 0.9406 0.9211
Pd 0.0108 0.4940 0.4116
Pd 0.5797 0.2232 0.2495
Pd 0.9589 0.4123 0.9804
Pd 0.4404 0.8587 0.4899
Pd 0.8716 0.1295 0.6521
Te 0.4327 0.5810 0.1812
Te 0.0186 0.7717 0.7204

Output
- distance to the lowest polymorph of the same formula (meV/atom) = 27
- formation energy from raw total energies (meV/atom) = -722


The following is a DFT calculation (GGA-PBE) of a geometry-optimized RbMg2IrPb structure.

a = 5.2644 Å, b = 5.2644 Å, c = 5.2410 Å
α = 90.00°, β = 90.00°, γ = 90.00°
Atoms (fractional coordinates):
Ir 0.0000 0.0000 0.0000
Mg 0.0000 0.5000 0.0000
Mg 0.5000 0.0000 0.0000
Rb 0.5000 0.5000 0.5000
Pb 0.0000 0.0000 0.5000

Output
- ΔE_f (eV/atom) = -0.0945


The following is a DFT calculation (GGA-PBE) of a geometry-optimized AcInSnBr6 structure.

a = 7.3407 Å, b = 7.3407 Å, c = 13.9937 Å
α = 90.00°, β = 90.00°, γ = 90.00°
Atoms (fractional coordinates):
Sn 0.0000 0.0000 0.6654
Sn 0.5000 0.5000 0.1654
Ac 0.0000 0.0000 0.3318
Ac 0.5000 0.5000 0.8318
Br 0.2079 0.7921 0.1771
Br 0.7079 0.7079 0.6771
Br 0.2072 0.7928 0.8210
Br 0.2928 0.2928 0.3210
Br 0.3160 0.3160 0.0037
Br 0.8160 0.1840 0.5037
Br 0.7928 0.2072 0.8210
Br 0.7921 0.2079 0.1771
Br 0.7072 0.7072 0.3210
Br 0.1840 0.8160 0.5037
Br 0.6840 0.6840 0.0037
Br 0.2921 0.2921 0.6771
In 0.0000 0.0000 0.9994
In 0.5000 0.5000 0.4994

Output
- formation energy from raw total energies (meV/atom) = -1281


The following is a DFT calculation (GGA-PBE) of a geometry-optimized Th2P3Ir4Rh structure.

a = 4.0067 Å, b = 4.0067 Å, c = 10.8920 Å
α = 90.00°, β = 90.00°, γ = 90.00°
Atoms (fractional coordinates):
Th 0.5000 0.0000 0.2583
Th 0.0000 0.5000 0.7417
Ir 0.0000 0.0000 0.0000
Ir 0.5000 0.0000 0.6700
Ir 0.0000 0.5000 0.3300
Ir 0.5000 0.5000 0.0000
Rh 0.5000 0.5000 0.5000
P 0.0000 0.5000 0.1231
P 0.0000 0.0000 0.5000
P 0.5000 0.0000 0.8769

Output
- ΔE_f (eV/atom) = -0.8709


The following is a DFT calculation (GGA-PBE) of a geometry-optimized Pa2HAu structure.

a = 3.0984 Å, b = 3.0984 Å, c = 9.2993 Å
α = 80.41°, β = 80.41°, γ = 60.00°
Atoms (fractional coordinates):
Pa 0.1104 0.1104 0.6687
Pa 0.8896 0.8896 0.3313
Au 0.0000 0.0000 0.0000
H 0.5000 0.5000 0.5000

Output
- distance to the lowest polymorph of the same formula (meV/atom) = 65


The following is a DFT calculation (GGA-PBE) of a geometry-optimized CaInSi2 structure.

a = 8.7509 Å, b = 8.7509 Å, c = 8.7509 Å
α = 23.47°, β = 23.47°, γ = 23.47°
Atoms (fractional coordinates):
Si 0.0060 0.0060 0.0060
Si 0.4940 0.4940 0.4940
Ca 0.2500 0.2500 0.2500
In 0.7500 0.7500 0.7500

Output
- formation energy from raw total energies (meV/atom) = 246


The following is a DFT calculation (GGA-PBE) of a geometry-optimized LaAlTc2 structure.

a = 3.1027 Å, b = 3.1027 Å, c = 7.8109 Å
α = 90.00°, β = 90.00°, γ = 90.00°
Atoms (fractional coordinates):
Tc 0.0000 0.0000 0.0614
Tc 0.5000 0.5000 0.2379
Al 0.0000 0.0000 0.4418
La 0.5000 0.5000 0.7589

Output
- ΔE_f (eV/atom) = -0.1277


The following is a DFT calculation (GGA-PBE) of a geometry-optimized Pm2SmBe structure.

a = 3.5034 Å, b = 3.5034 Å, c = 11.8544 Å
α = 81.50°, β = 81.50°, γ = 60.00°
Atoms (fractional coordinates):
Be 0.0000 0.0000 0.0000
Pm 0.0837 0.0837 0.7488
Pm 0.9163 0.9163 0.2512
Sm 0.5000 0.5000 0.5000

Output
- distance to the lowest polymorph of the same formula (meV/atom) = 589
- ΔE_f (eV/atom) = 0.6975


The following is a DFT calculation (GGA-PBE) of a geometry-optimized Ti2BePd2 structure.

a = 7.0228 Å, b = 7.0228 Å, c = 3.1917 Å
α = 90.00°, β = 90.00°, γ = 90.00°
Atoms (fractional coordinates):
Pd 0.3645 0.8645 0.0000
Pd 0.6355 0.1355 0.0000
Pd 0.1355 0.3645 0.0000
Pd 0.8645 0.6355 0.0000
Be 0.5000 0.5000 0.0000
Be 0.0000 0.0000 0.0000
Ti 0.8293 0.3293 0.5000
Ti 0.3293 0.1707 0.5000
Ti 0.6707 0.8293 0.5000
Ti 0.1707 0.6707 0.5000

Output
- ΔE_f (eV/atom) = -0.2308


Calculated electronic total energy in order - -3.201 -3.757 -6.482 -5.288 -3.440 -3.602 -8.257 -6.311 -3.650 -7.478 -3.789 -6.211 eV per atom